Below is crystalline Mg3Os2Pd2 at its relaxed geometry, with properties calculated at the GGA-PBE level.

Unit cell a=7.3356 b=7.3356 c=7.3356 alpha=34.74 beta=34.74 gamma=34.74
Element x y z (fractional)
Mg 0.3697 0.3697 0.3697
Mg 0.6248 0.6248 0.6248
Mg 0.8813 0.8813 0.8813
Os 0.2386 0.2386 0.2386
Os 0.7578 0.7578 0.7578
Pd 0.0108 0.0108 0.0108
Pd 0.4921 0.4921 0.4921

Properties
VASP energy, Ha/atom: -0.181
Space group: R3m